1.
Here is a relaxed structure of Ho2MgAu6 from Alexandria via LeMat-Bulk. Energies are from PBE.

Properties
E_tot   -36.6 eV per formula unit
ΔH_f (0 K)   -0.6871 eV per atom
Total magnetization   0.00 μB/atom
SG   C2/c, No. 15

CIF file:
```
data_Ho2MgAu6
_space_group_name_H-M_alt 'P 1'
_space_group_IT_number 1
_cell_length_a 5.180
_cell_length_b 9.044
_cell_length_c 9.044
_cell_angle_alpha 120.41
_cell_angle_beta 89.97
_cell_angle_gamma 89.97
loop_
_space_group_symop_operation_xyz
'x,y,z'
loop_
_atom_site_label
_atom_site_fract_x
_atom_site_fract_y
_atom_site_fract_z
Au1 0.996 0.832 0.000
Mg1 0.250 0.250 0.750
Au2 0.245 0.912 0.412
Au3 0.496 0.000 0.832
Au4 0.996 0.500 0.332
Au5 0.496 0.332 0.500
Ho1 0.000 0.163 0.337
Au6 0.504 0.000 0.168
Au7 0.755 0.088 0.588
Ho2 0.000 0.837 0.663
Mg2 0.750 0.750 0.250
Au8 0.745 0.412 0.912
Au9 0.255 0.588 0.088
Ho3 0.500 0.663 0.837
Au10 0.504 0.668 0.500
Au11 0.004 0.168 0.000
Au12 0.004 0.500 0.668
Ho4 0.500 0.337 0.163
```

2.
Here is a relaxed structure of Cd4SnHg5 from Alexandria via LeMat-Bulk. Energies are from PBE.

Properties
E_tot   -8.5 eV per formula unit
ΔH_f (0 K)   0.0668 eV per atom
Total magnetization   0.00 μB/atom
SG   I4, No. 79

CIF file:
```
data_Cd4SnHg5
_space_group_name_H-M_alt 'P 1'
_space_group_IT_number 1
_cell_length_a 7.141
_cell_length_b 7.141
_cell_length_c 7.141
_cell_angle_alpha 104.15
_cell_angle_beta 104.15
_cell_angle_gamma 120.73
loop_
_space_group_symop_operation_xyz
'x,y,z'
loop_
_atom_site_label
_atom_site_fract_x
_atom_site_fract_y
_atom_site_fract_z
Hg1 0.057 0.661 0.734
Cd1 0.184 0.313 0.650
Cd2 0.534 0.184 0.871
Hg2 0.661 0.927 0.604
Cd3 0.313 0.663 0.129
Sn1 0.122 0.122 0.000
Hg3 0.706 0.706 0.000
Hg4 0.927 0.323 0.266
Hg5 0.323 0.057 0.396
Cd4 0.663 0.534 0.350
```

3.
Here is a relaxed structure of NiAgPd2 from Alexandria via LeMat-Bulk. Energies are from PBE.

Properties
E_tot   -18.8 eV per formula unit
ΔH_f (0 K)   0.0526 eV per atom
Total magnetization   0.30 μB/atom
SG   R3m, No. 160

CIF file:
```
data_NiAgPd2
_space_group_name_H-M_alt 'P 1'
_space_group_IT_number 1
_cell_length_a 2.793
_cell_length_b 2.793
_cell_length_c 9.066
_cell_angle_alpha 81.14
_cell_angle_beta 81.14
_cell_angle_gamma 60.00
loop_
_space_group_symop_operation_xyz
'x,y,z'
loop_
_atom_site_label
_atom_site_fract_x
_atom_site_fract_y
_atom_site_fract_z
Pd1 0.077 0.077 0.770
Pd2 0.257 0.257 0.230
Ag1 0.500 0.500 0.500
Ni1 0.667 0.667 0.000
```

4.
Here is a relaxed structure of Ta5Nb2 from Alexandria via LeMat-Bulk. Energies are from PBE.

Properties
E_tot   -78.5 eV per formula unit
ΔH_f (0 K)   0.1298 eV per atom
Total magnetization   0.00 μB/atom
SG   C2/c, No. 15

CIF file:
```
data_Ta5Nb2
_space_group_name_H-M_alt 'P 1'
_space_group_IT_number 1
_cell_length_a 5.263
_cell_length_b 6.563
_cell_length_c 7.983
_cell_angle_alpha 89.84
_cell_angle_beta 109.25
_cell_angle_gamma 90.00
loop_
_space_group_symop_operation_xyz
'x,y,z'
loop_
_atom_site_label
_atom_site_fract_x
_atom_site_fract_y
_atom_site_fract_z
Ta1 0.267 0.464 0.287
Nb1 0.445 0.108 0.143
Ta2 0.838 0.322 0.428
Ta3 0.733 0.536 0.713
Ta4 0.125 0.750 0.000
Nb2 0.302 0.392 0.857
Nb3 0.698 0.608 0.143
Nb4 0.555 0.892 0.857
Ta5 0.410 0.178 0.572
Ta6 0.875 0.250 0.000
Ta7 0.162 0.678 0.572
Ta8 0.590 0.822 0.428
Ta9 0.981 0.036 0.713
Ta10 0.019 0.964 0.287
```